Record 1
! PBE Pr4SmY, relaxed; values from VASP
&SYSTEM
  ibrav = 0, nat = 6, ntyp = 3
/
ATOMIC_SPECIES
Pr 140.91 Pr.upf
Sm 150.36 Sm.upf
Y 88.91 Y.upf
ATOMIC_POSITIONS angstrom
Pr 1.1989 1.1989 1.1989
Pr 3.5778 3.5778 1.1989
Pr 3.5778 1.1989 3.5778
Pr 1.1989 3.5778 3.5778
Sm 7.1651 7.1651 7.1651
Y 4.7767 4.7767 4.7767
CELL_PARAMETERS angstrom
0.0000 4.7767 4.7767
4.7767 0.0000 4.7767
4.7767 4.7767 0.0000
! DFT formation energy in meV/atom: 247
! Total magnetic moment in μB per cell: 0.0
! V in Å³ per cell: 218.0
! Density in g/cm3: 6.116
! Space-group type: F-43m (216)
! Fermi-level density of states in states/eV per cell: 11.2



Record 2
! PBE Pr5SmY4, relaxed; values from VASP
&SYSTEM
  ibrav = 0, nat = 10, ntyp = 3
/
ATOMIC_SPECIES
Pr 140.91 Pr.upf
Sm 150.36 Sm.upf
Y 88.91 Y.upf
ATOMIC_POSITIONS angstrom
Pr 0.0000 0.0000 0.0000
Pr 3.4959 0.0000 0.9966
Pr 5.5439 0.0000 6.8959
Pr 10.4692 0.0000 3.0089
Pr 12.5171 0.0000 8.9082
Sm -1.4490 0.0000 4.9524
Y 2.0347 0.0000 5.9390
Y 6.9633 0.0000 2.0090
Y 9.0498 0.0000 7.8958
Y 13.9783 0.0000 3.9658
CELL_PARAMETERS angstrom
9.4555 -1.8274 0.0000
9.4555 1.8274 0.0000
-2.8980 0.0000 9.9048
! DFT formation energy in meV/atom: 12
! Total magnetic moment in μB per cell: 0.0
! V in Å³ per cell: 342.3
! Density in g/cm3: 5.872
! Space-group type: C2/m (12)
! Fermi-level density of states in states/eV per cell: 13.3



Record 3
! PBE Pr12Sm7Y, relaxed; values from VASP
&SYSTEM
  ibrav = 0, nat = 20, ntyp = 3
/
ATOMIC_SPECIES
Pr 140.91 Pr.upf
Sm 150.36 Sm.upf
Y 88.91 Y.upf
ATOMIC_POSITIONS angstrom
Pr -4.0697 -4.3853 2.1214
Pr -5.8327 -1.3318 2.1214
Pr 0.0000 -4.0486 1.2715
Pr -3.5062 2.0243 1.2715
Pr 4.0697 -4.3853 2.1214
Pr -1.7629 5.7171 2.1214
Pr 3.5062 2.0243 1.2715
Pr -3.5062 -2.0243 5.0925
Pr 5.8327 -1.3318 2.1214
Pr 1.7629 5.7171 2.1214
Pr 3.5062 -2.0243 5.0925
Pr 0.0000 4.0486 5.0925
Sm 0.0000 0.0000 0.0000
Sm -2.4615 -1.4211 1.8697
Sm 2.4615 -1.4211 1.8697
Sm 0.0000 2.8423 1.8697
Sm 0.0000 -2.8423 4.4943
Sm -2.4615 1.4211 4.4943
Sm 2.4615 1.4211 4.4943
Y 0.0000 0.0000 3.1820
CELL_PARAMETERS angstrom
9.9024 5.7171 2.1214
-9.9024 5.7171 2.1214
0.0000 -11.4343 2.1214
! DFT formation energy in meV/atom: 216
! Total magnetic moment in μB per cell: 0.0
! V in Å³ per cell: 720.6
! Density in g/cm3: 6.527
! Space-group type: R-3m (166)
! Fermi-level density of states in states/eV per cell: 25.9



Record 4
! PBE Pr2Sm5Y4, relaxed; values from VASP
&SYSTEM
  ibrav = 0, nat = 11, ntyp = 3
/
ATOMIC_SPECIES
Pr 140.91 Pr.upf
Sm 150.36 Sm.upf
Y 88.91 Y.upf
ATOMIC_POSITIONS angstrom
Pr 0.0000 0.0000 5.5127
Pr 0.0000 0.0000 18.1572
Sm 1.7770 2.7957 -3.3779
Sm 1.7770 2.7957 3.3779
Sm 0.0000 4.5952 0.0000
Sm 0.0000 1.7995 8.4570
Sm 0.0000 1.7995 15.2129
Y 0.0000 0.0000 2.3129
Y 1.7770 1.7282 0.0000
Y 0.0000 2.8670 11.8350
Y 0.0000 0.0000 21.3570
CELL_PARAMETERS angstrom
-1.7770 4.5952 11.8350
1.7770 -4.5952 11.8350
1.7770 4.5952 -11.8350
! DFT formation energy in meV/atom: 195
! Total magnetic moment in μB per cell: 0.0
! V in Å³ per cell: 386.6
! Density in g/cm3: 5.968
! Space-group type: Immm (71)
! Fermi-level density of states in states/eV per cell: 16.5



Record 5
! PBE PrSm5Y3, relaxed; values from VASP
&SYSTEM
  ibrav = 0, nat = 18, ntyp = 3
/
ATOMIC_SPECIES
Pr 140.91 Pr.upf
Sm 150.36 Sm.upf
Y 88.91 Y.upf
ATOMIC_POSITIONS angstrom
Pr 2.9782 0.0000 1.2290
Pr 5.8652 0.0000 8.1763
Sm -2.4597 0.0000 5.3679
Sm 5.6061 2.4229 2.0933
Sm 3.2374 2.4229 7.3120
Sm -2.4575 0.0000 8.7724
Sm 8.5021 1.4825 0.0000
Sm 8.5021 -1.4825 0.0000
Sm 11.3010 0.0000 0.6329
Sm 5.6061 -2.4229 2.0933
Sm 3.2374 -2.4229 7.3120
Sm 11.3032 0.0000 4.0374
Y 0.0000 0.0000 0.0000
Y 0.2227 0.0000 3.2257
Y 0.9500 0.0000 6.4553
Y 4.4217 0.0000 4.7027
Y 7.8934 0.0000 2.9500
Y 8.6208 0.0000 6.1797
CELL_PARAMETERS angstrom
8.5021 -4.0811 0.0000
8.5021 4.0811 0.0000
-8.1607 0.0000 9.4053
! DFT formation energy in meV/atom: 402
! Total magnetic moment in μB per cell: 0.0
! V in Å³ per cell: 652.7
! Density in g/cm3: 5.899
! Space-group type: C2/m (12)
! Fermi-level density of states in states/eV per cell: 26.5



Record 6
! PBE Pr2Sm6Y3, relaxed; values from VASP
&SYSTEM
  ibrav = 0, nat = 11, ntyp = 3
/
ATOMIC_SPECIES
Pr 140.91 Pr.upf
Sm 150.36 Sm.upf
Y 88.91 Y.upf
ATOMIC_POSITIONS angstrom
Pr 3.1145 3.6008 0.0000
Pr 3.1145 -3.6008 0.0000
Sm -0.0194 1.7979 8.7214
Sm 1.0318 0.0000 2.9388
Sm -0.0194 -1.7979 8.7214
Sm 4.1432 1.7979 2.9398
Sm 3.0919 0.0000 8.7225
Sm 4.1432 -1.7979 2.9398
Y -1.0526 0.0000 5.8306
Y 2.0619 1.7862 5.8306
Y 2.0619 -1.7862 5.8306
CELL_PARAMETERS angstrom
3.1145 -5.4015 0.0000
3.1145 5.4015 0.0000
-2.1053 0.0000 11.6612
! DFT formation energy in meV/atom: 171
! Total magnetic moment in μB per cell: 0.0
! V in Å³ per cell: 392.4
! Density in g/cm3: 6.140
! Space-group type: C2/m (12)
! Fermi-level density of states in states/eV per cell: 17.0



Record 7
! PBE PrSm6Y12, relaxed; values from VASP
&SYSTEM
  ibrav = 0, nat = 19, ntyp = 3
/
ATOMIC_SPECIES
Pr 140.91 Pr.upf
Sm 150.36 Sm.upf
Y 88.91 Y.upf
ATOMIC_POSITIONS angstrom
Pr 0.0000 0.0000 0.0000
Sm -0.8072 -3.8451 5.6908
Sm -3.7336 -1.2235 9.0293
Sm -2.9263 2.6216 5.6908
Sm 2.9263 -2.6216 9.0293
Sm 3.7336 1.2235 5.6908
Sm 0.8072 3.8451 9.0293
Y -1.9333 0.5953 2.9250
Y 0.4511 -1.9720 2.9250
Y -2.0196 -0.7445 5.9648
Y 1.4822 1.3767 2.9250
Y -0.3651 -2.1212 8.7553
Y 1.6545 -1.3768 5.9648
Y -1.6545 1.3768 8.7553
Y 0.3651 2.1212 5.9648
Y -1.4822 -1.3767 11.7951
Y 2.0196 0.7445 8.7553
Y -0.4511 1.9720 11.7951
Y 1.9333 -0.5953 11.7951
CELL_PARAMETERS angstrom
6.1377 3.5436 4.9067
-6.1377 3.5436 4.9067
0.0000 -7.0872 4.9067
! DFT formation energy in meV/atom: 176
! Total magnetic moment in μB per cell: 0.0
! V in Å³ per cell: 640.3
! Density in g/cm3: 5.472
! Space-group type: R-3 (148)
! Fermi-level density of states in states/eV per cell: 39.3



Record 8
! PBE Pr2SmY, relaxed; values from VASP
&SYSTEM
  ibrav = 0, nat = 8, ntyp = 3
/
ATOMIC_SPECIES
Pr 140.91 Pr.upf
Sm 150.36 Sm.upf
Y 88.91 Y.upf
ATOMIC_POSITIONS angstrom
Pr 2.5774 1.2964 1.2962
Pr 2.5774 -1.2964 3.8886
Pr 7.7258 1.2964 1.2962
Pr 7.7258 -1.2964 3.8886
Sm 5.1516 3.8770 1.2962
Sm 5.1516 -3.8770 3.8886
Y 5.1516 1.2840 3.8886
Y 5.1516 -1.2840 1.2962
CELL_PARAMETERS angstrom
5.1516 -5.1802 0.0000
5.1516 5.1802 0.0000
0.0000 0.0000 5.1848
! DFT formation energy in meV/atom: 14
! Total magnetic moment in μB per cell: 0.0
! V in Å³ per cell: 276.7
! Density in g/cm3: 6.254
! Space-group type: Cmcm (63)
! Fermi-level density of states in states/eV per cell: 12.4



Record 9
! PBE Pr3SmY4, relaxed; values from VASP
&SYSTEM
  ibrav = 0, nat = 16, ntyp = 3
/
ATOMIC_SPECIES
Pr 140.91 Pr.upf
Sm 150.36 Sm.upf
Y 88.91 Y.upf
ATOMIC_POSITIONS angstrom
Pr 0.0000 0.9305 0.0000
Pr 2.9121 0.9304 2.1125
Pr 2.9201 6.4522 5.2961
Pr 5.8321 6.4520 3.1835
Pr 8.7522 0.9304 2.1125
Pr 8.7442 6.4522 5.2961
Sm 0.0000 6.4368 3.1852
Sm 5.8321 0.9458 0.0017
Y 0.0000 2.7889 3.1680
Y 0.0000 4.5961 6.3589
Y 2.9086 4.5933 2.1222
Y 2.9235 2.7893 5.3058
Y 5.8321 2.7865 3.1753
Y 5.8321 4.5936 6.3515
Y 8.7408 2.7893 5.3058
Y 8.7556 4.5933 2.1222
CELL_PARAMETERS angstrom
11.6643 0.0000 0.0000
0.0000 7.3825 0.0000
0.0000 0.0000 6.3671
! DFT formation energy in meV/atom: 23
! Total magnetic moment in μB per cell: 0.0
! V in Å³ per cell: 548.3
! Density in g/cm3: 5.625
! Space-group type: Pmn2_1 (31)
! Fermi-level density of states in states/eV per cell: 30.6



Record 10
! PBE Pr2SmY9, relaxed; values from VASP
&SYSTEM
  ibrav = 0, nat = 12, ntyp = 3
/
ATOMIC_SPECIES
Pr 140.91 Pr.upf
Sm 150.36 Sm.upf
Y 88.91 Y.upf
ATOMIC_POSITIONS angstrom
Pr 0.0000 0.0000 2.5515
Pr 0.0000 0.0000 12.7232
Sm 0.0000 0.0000 7.6374
Y 0.0000 2.5454 0.0000
Y 0.0000 2.5454 5.1119
Y 0.0000 2.5454 10.1629
Y 2.5454 0.0000 0.0000
Y 2.5454 0.0000 5.1119
Y 2.5454 0.0000 10.1629
Y 2.5454 2.5454 2.5575
Y 2.5454 2.5454 7.6374
Y 2.5454 2.5454 12.7172
CELL_PARAMETERS angstrom
5.0909 0.0000 0.0000
0.0000 5.0909 0.0000
0.0000 0.0000 15.2748
! DFT formation energy in meV/atom: 23
! Total magnetic moment in μB per cell: 0.0
! V in Å³ per cell: 395.9
! Density in g/cm3: 5.169
! Space-group type: P4/mmm (123)
! Fermi-level density of states in states/eV per cell: 18.6



Record 11
! PBE Pr6SmY5, relaxed; values from VASP
&SYSTEM
  ibrav = 0, nat = 12, ntyp = 3
/
ATOMIC_SPECIES
Pr 140.91 Pr.upf
Sm 150.36 Sm.upf
Y 88.91 Y.upf
ATOMIC_POSITIONS angstrom
Pr 5.1880 0.0014 2.5416
Pr 2.5860 7.8003 7.6322
Pr 2.5910 2.5980 2.5369
Pr 2.5922 2.6010 7.6369
Pr 5.1817 5.2008 2.5369
Pr 5.1830 5.2038 7.6369
Sm 2.5945 0.0027 5.0869
Y 2.5889 5.1917 5.0870
Y 2.5894 5.2051 10.1736
Y 2.5938 0.0000 0.0000
Y 5.1846 2.5967 0.0002
Y 5.1850 2.6101 5.0868
CELL_PARAMETERS angstrom
5.1876 0.0000 0.0000
2.5850 7.7963 0.0000
0.0014 0.0055 10.1738
! DFT formation energy in meV/atom: 13
! Total magnetic moment in μB per cell: 0.0
! V in Å³ per cell: 411.5
! Density in g/cm3: 5.813
! Space-group type: P-1 (2)
! Fermi-level density of states in states/eV per cell: 17.0



Record 12
! PBE Pr2Sm5Y12, relaxed; values from VASP
&SYSTEM
  ibrav = 0, nat = 19, ntyp = 3
/
ATOMIC_SPECIES
Pr 140.91 Pr.upf
Sm 150.36 Sm.upf
Y 88.91 Y.upf
ATOMIC_POSITIONS angstrom
Pr 7.8397 3.0490 0.0000
Pr 7.8397 -3.0490 0.0000
Sm 3.1942 0.0000 0.1566
Sm 4.1054 0.0000 3.7181
Sm 7.6884 0.0000 4.3567
Sm 11.2714 0.0000 4.9953
Sm 12.1826 0.0000 8.5567
Y 0.8051 0.0000 2.8954
Y 5.7169 2.9240 2.9634
Y 5.2533 1.6792 6.6193
Y 9.6599 2.9240 5.7500
Y 6.5621 0.0000 1.0919
Y 10.1235 1.6792 2.0941
Y 5.2533 -1.6792 6.6193
Y 8.8147 0.0000 7.6215
Y 5.7169 -2.9240 2.9634
Y 10.1235 -1.6792 2.0941
Y 9.6599 -2.9240 5.7500
Y 14.5717 0.0000 5.8180
CELL_PARAMETERS angstrom
7.8397 -4.7113 0.0000
7.8397 4.7113 0.0000
-0.3026 0.0000 8.7134
! DFT formation energy in meV/atom: 126
! Total magnetic moment in μB per cell: 0.0
! V in Å³ per cell: 643.7
! Density in g/cm3: 5.419
! Space-group type: C2/m (12)
! Fermi-level density of states in states/eV per cell: 27.5